# 1
Entry from Alexandria via LeMat-Bulk: a relaxed structure of Nd8Dy5Y (PBE).

Unit cell a=8.597 b=8.597 c=8.597 alpha=111.13 beta=106.21 gamma=111.13
Sites, in units of the cell vectors:
Nd1 0.665 0.396 0.923
Nd2 0.165 0.734 0.076
Nd3 0.342 0.266 0.431
Nd4 0.527 0.604 0.269
Nd5 0.731 0.257 0.335
Nd6 0.924 0.090 0.658
Nd7 0.077 0.743 0.473
Nd8 0.569 0.910 0.835
Dy1 0.500 0.000 0.500
Dy2 0.868 0.903 0.181
Dy3 0.819 0.687 0.722
Dy4 0.035 0.313 0.132
Dy5 0.278 0.097 0.965
Y1 0.250 0.500 0.750

Size of the total moment: 0.0 μB per formula unit
Electronic total energy: -0.337 Ry per atom

=====

# 2
Entry from Alexandria via LeMat-Bulk: a relaxed structure of Nd3Dy4Y5 (PBE).

Unit cell a=7.178 b=15.612 c=17.894 alpha=160.12 beta=45.67 gamma=143.33
Sites, in units of the cell vectors:
Dy1 0.165 0.333 0.167
Dy2 0.917 0.833 0.666
Dy3 0.835 0.667 0.833
Dy4 0.083 0.167 0.334
Y1 0.748 0.501 0.001
Y2 0.500 0.000 0.500
Y3 0.666 0.333 0.167
Y4 0.252 0.499 0.999
Y5 0.334 0.667 0.833
Nd1 0.414 0.831 0.666
Nd2 0.000 0.000 0.500
Nd3 0.586 0.169 0.334

Size of the total moment: 0.0 μB per formula unit
Electronic total energy: -0.397 Ry per atom
Offset from the most stable computed form: 0 meV per atom